No. 1
DFT (meta-GGA SCAN) results for a crystal of Nd2Re2Si2C relaxed with PBEsol.

The space group is No. 12. The calculation puts the total energy at -263.8 eV per formula unit.

POSCAR file:
```
Nd2Re2Si2C
1.0
5.5142 -2.0102 0.0000
5.5142 2.0102 0.0000
-4.3566 0.0000 5.6093
Nd Re Si C
2 2 2 1
Direct
0.0729 0.0729 0.3024
0.9271 0.9271 0.6976
0.2946 0.2946 0.9128
0.7054 0.7054 0.0872
0.3547 0.3547 0.3083
0.6453 0.6453 0.6917
0.5000 0.5000 0.0000
```



No. 2
DFT (meta-GGA SCAN) results for a crystal of NdSiRu2C relaxed with PBEsol.

The space group is No. 63. The calculation puts the total energy at -136.6 eV per formula unit.

POSCAR file:
```
NdSiRu2C
1.0
1.9501 -5.4986 0.0000
1.9501 5.4986 0.0000
0.0000 0.0000 7.1206
Nd Si Ru C
2 2 4 2
Direct
0.0506 0.9494 0.7500
0.9494 0.0506 0.2500
0.2285 0.7715 0.2500
0.7715 0.2285 0.7500
0.3347 0.6653 0.5593
0.3347 0.6653 0.9407
0.6653 0.3347 0.0593
0.6653 0.3347 0.4407
0.5000 0.5000 0.0000
0.5000 0.5000 0.5000
```



No. 3
DFT (meta-GGA SCAN) results for a crystal of Ni2C relaxed with PBEsol.

The space group is No. 164. The calculated formation energy comes out at 0.322 eV/atom. The calculation puts the energy above the lowest structure with this stoichiometry at 0.121 eV/atom.

POSCAR file:
```
Ni2C
1.0
2.8405 0.0000 0.0000
-1.4202 2.4599 0.0000
0.0000 0.0000 3.9395
Ni C
2 1
Direct
0.3333 0.6667 0.2447
0.6667 0.3333 0.7553
0.0000 0.0000 0.0000
```



No. 4
DFT (meta-GGA SCAN) results for a crystal of NiC3 relaxed with PBEsol.

The space group is No. 10. The calculated formation energy comes out at 1.381 eV/atom. The calculation puts the energy above the lowest structure with this stoichiometry at 0.000 eV/atom.

POSCAR file:
```
NiC3
1.0
3.3638 0.0000 0.0000
0.0000 2.4229 0.0000
-1.5136 0.0000 3.8319
Ni C
1 3
Direct
0.0000 0.0000 0.0000
0.0000 0.0000 0.5000
0.2660 0.5000 0.4176
0.7340 0.5000 0.5824
```